Compound: Ti3NbZn7
Source: Alexandria
Functional: GGA-PBE
Structure: relaxed

a = 11.2877 Å, b = 11.2877 Å, c = 11.1853 Å
α = 90.00°, β = 90.00°, γ = 165.70°
Closest atoms and distances in Å follow each position.
Fractional coordinates of all 22 atoms:
Ti1 0.0833 0.9167 0.5104  9 Zn 2.75-3.04, 2 Ti 2.81, 1 Nb 2.94
Ti2 0.0833 0.9167 0.9896  9 Zn 2.75-3.04, 2 Ti 2.81, 1 Nb 2.94
Ti3 0.2226 0.7774 0.2500  8 Zn 2.65-2.73, 1 Nb 2.75, 2 Ti 2.81
Ti4 0.7774 0.2226 0.7500  8 Zn 2.65-2.73, 1 Nb 2.75, 2 Ti 2.81
Ti5 0.9167 0.0833 0.0104  9 Zn 2.75-3.04, 2 Ti 2.81, 1 Nb 2.94
Ti6 0.9167 0.0833 0.4896  9 Zn 2.75-3.04, 2 Ti 2.81, 1 Nb 2.94
Nb1 0.0997 0.9003 0.2500  3 Ti 2.75-2.94, 2 Nb 2.81, 4 Zn 2.88
Nb2 0.9003 0.0997 0.7500  3 Ti 2.75-2.94, 2 Nb 2.81, 4 Zn 2.88
Zn1 0.1914 0.8086 0.6306  8 Zn 2.63-2.94, 3 Ti 2.73-2.77
Zn2 0.1914 0.8086 0.8694  8 Zn 2.63-2.94, 3 Ti 2.73-2.77
Zn3 0.3187 0.6813 0.5668  5 Zn 2.63-2.94, 4 Ti 2.65-2.75
Zn4 0.3187 0.6813 0.9332  5 Zn 2.63-2.94, 4 Ti 2.65-2.75
Zn5 0.4026 0.5974 0.2500  8 Zn 2.65-2.86
Zn6 0.4951 0.5049 0.6307  5 Zn 2.65-2.93, 4 Ti 2.75-2.77, 2 Nb 2.88
Zn7 0.4951 0.5049 0.8693  5 Zn 2.65-2.93, 4 Ti 2.75-2.77, 2 Nb 2.88
Zn8 0.5049 0.4951 0.1307  5 Zn 2.65-2.93, 4 Ti 2.75-2.77, 2 Nb 2.88
Zn9 0.5049 0.4951 0.3693  5 Zn 2.65-2.93, 4 Ti 2.75-2.77, 2 Nb 2.88
Zn10 0.5974 0.4026 0.7500  8 Zn 2.65-2.86
Zn11 0.6813 0.3187 0.0668  5 Zn 2.63-2.94, 4 Ti 2.65-2.75
Zn12 0.6813 0.3187 0.4332  5 Zn 2.63-2.94, 4 Ti 2.65-2.75
Zn13 0.8086 0.1914 0.1306  8 Zn 2.63-2.94, 3 Ti 2.73-2.77
Zn14 0.8086 0.1914 0.3694  8 Zn 2.63-2.94, 3 Ti 2.73-2.77


Compound: Ti3NbZn
Source: Alexandria
Functional: GGA-PBE
Structure: relaxed

Computed properties:
The calculation puts the energy above the most stable polymorph in this dataset at 956 meV per atom.

a = 4.6293 Å, b = 4.6293 Å, c = 4.6293 Å
α = 90.00°, β = 90.00°, γ = 90.00°
Closest atoms and distances in Å follow each position.
Fractional coordinates of all 5 atoms:
Ti1 0.0000 0.0000 0.5000  2 Zn 2.31
Ti2 0.0000 0.5000 0.0000  2 Zn 2.31
Ti3 0.5000 0.0000 0.0000  2 Zn 2.31
Nb1 0.5000 0.5000 0.5000  12 Ti 3.27
Zn1 0.0000 0.0000 0.0000  6 Ti 2.31


Compound: Zr2TiNb
Source: Alexandria
Functional: GGA-PBE
Structure: relaxed

Computed properties:
The calculation puts the energy above the most stable polymorph in this dataset at 0 meV per atom.

a = 4.8676 Å, b = 4.8676 Å, c = 4.8676 Å
α = 60.00°, β = 60.00°, γ = 60.00°
Closest atoms and distances in Å follow each position.
Fractional coordinates of all 4 atoms:
Zr1 0.2500 0.2500 0.2500  4 Nb 2.98, 4 Ti 2.98
Zr2 0.7500 0.7500 0.7500  4 Nb 2.98, 4 Ti 2.98
Ti1 0.0000 0.0000 0.0000  8 Zr 2.98
Nb1 0.5000 0.5000 0.5000  8 Zr 2.98


no.,DOS at the Fermi energy (states/eV/cell),energy of formation (meV per atom)
1,17.21,-34.1
2,7.18,905.7
3,7.27,96.5